No. 1
{"formula": "HfTe2", "functional": "PBE", "state": "optimized geometry", "space_group": "No. 227", "crystal_system": "cubic", "total_energy_ev_per_atom": -4.62, "cell": [[2.126, 3.912, 4.192], [-2.794, 5.370, 0.865], [-3.172, 1.005, 5.131]], "species": ["Te", "Te", "Te", "Te", "Hf", "Hf"], "fractional_positions": [[0.625, 0.625, 0.625], [0.125, 0.625, 0.625], [0.625, 0.625, 0.125], [0.625, 0.125, 0.625], [0.000, 0.000, 0.000], [0.250, 0.250, 0.250]]}

No. 2
{"formula": "TcB4Au", "functional": "PBE", "state": "optimized geometry", "polymorph_energy_ev_per_atom": 0.162, "space_group": "No. 71", "crystal_system": "orthorhombic", "total_energy_ev_per_atom": -6.26, "cell": [[0.952, -4.437, 1.340], [-2.277, -0.254, 4.140], [-0.747, 0.520, -4.643]], "species": ["Tc", "B", "B", "B", "B", "Au"], "fractional_positions": [[0.000, 0.000, 0.000], [0.939, 0.266, 0.672], [0.061, 0.734, 0.328], [0.406, 0.734, 0.672], [0.594, 0.266, 0.328], [0.500, 0.500, 0.000]]}

No. 3
{"formula": "CuSnOs2", "functional": "PBE", "state": "optimized geometry", "space_group": "No. 216", "crystal_system": "cubic", "total_energy_ev_per_atom": -6.96, "cell": [[0.000, 3.136, 3.136], [3.136, 0.000, 3.136], [3.136, 3.136, 0.000]], "species": ["Os", "Os", "Sn", "Cu"], "fractional_positions": [[0.750, 0.750, 0.750], [0.000, 0.000, 0.000], [0.500, 0.500, 0.500], [0.250, 0.250, 0.250]]}